[1]
Density functional theory data (SCAN) for a PBEsol-optimized structure of Cs2As4Pd3O14.

Lattice parameters (Å, degrees): 6.0192 16.2233 16.2233 90.00 90.00 90.00
Sites, in units of the cell vectors:
1 Cs 0.4725 0.7643 0.9178
2 Cs 0.4725 0.5822 0.2643
3 Cs 0.5275 0.7357 0.5822
4 Cs 0.4725 0.4178 0.7357
5 Cs 0.5275 0.9178 0.2357
6 Cs 0.5275 0.2643 0.4178
7 Cs 0.5275 0.0822 0.7643
8 Cs 0.4725 0.2357 0.0822
9 As 0.9166 0.6503 0.0826
10 As 0.0026 0.5719 0.6570
11 As 0.9974 0.0719 0.1570
12 As 0.9166 0.4174 0.1503
13 As 0.9974 0.6570 0.4281
14 As 0.9166 0.3497 0.9174
15 As 0.9974 0.3430 0.5719
16 As 0.0834 0.0826 0.3497
17 As 0.0026 0.1570 0.9281
18 As 0.9974 0.9281 0.8430
19 As 0.0834 0.1503 0.5826
20 As 0.0834 0.8497 0.4174
21 As 0.0026 0.8430 0.0719
22 As 0.0834 0.9174 0.6503
23 As 0.0026 0.4281 0.3430
24 As 0.9166 0.5826 0.8497
25 Pd 0.3149 0.0000 0.5000
26 Pd 0.8501 0.0000 0.5000
27 Pd 0.7595 0.5000 0.5000
28 Pd 0.6851 0.5000 0.0000
29 Pd 0.0000 0.7500 0.7500
30 Pd 0.1499 0.5000 0.0000
31 Pd 0.7595 0.0000 0.0000
32 Pd 0.2405 0.5000 0.5000
33 Pd 0.0000 0.2500 0.2500
34 Pd 0.0000 0.2500 0.7500
35 Pd 0.0000 0.7500 0.2500
36 Pd 0.2405 0.0000 0.0000
37 O 0.8632 0.9160 0.4080
38 O 0.0318 0.2597 0.9653
39 O 0.7546 0.0332 0.1184
40 O 0.0000 0.6773 0.6518
41 O 0.8078 0.6862 0.1734
42 O 0.0000 0.1518 0.8227
43 O 0.7587 0.1207 0.9683
44 O 0.0000 0.1773 0.1518
45 O 0.0318 0.7403 0.0347
46 O 0.7587 0.4683 0.3793
47 O 0.1922 0.8266 0.6862
48 O 0.2454 0.1184 0.9668
49 O 0.0318 0.4653 0.2403
50 O 0.2454 0.5332 0.6184
51 O 0.6995 0.4800 0.1226
52 O 0.8632 0.9080 0.5840
53 O 0.3005 0.9800 0.6226
54 O 0.7546 0.9668 0.8816
55 O 0.9682 0.9653 0.7403
56 O 0.2454 0.8816 0.0332
57 O 0.8632 0.0920 0.4160
58 O 0.2413 0.0317 0.1207
59 O 0.7546 0.6184 0.4668
60 O 0.9682 0.7597 0.4653
61 O 0.2413 0.9683 0.8793
62 O 0.3005 0.1226 0.5200
63 O 0.6995 0.3774 0.9800
64 O 0.1922 0.8138 0.3266
65 O 0.9682 0.0347 0.2597
66 O 0.0000 0.8482 0.1773
67 O 0.1368 0.4160 0.9080
68 O 0.7587 0.8793 0.0317
69 O 0.1368 0.4080 0.0840
70 O 0.8632 0.0840 0.5920
71 O 0.7587 0.5317 0.6207
72 O 0.9682 0.2403 0.5347
73 O 0.8078 0.6734 0.8138
74 O 0.0000 0.6518 0.3227
75 O 0.0000 0.3227 0.3482
76 O 0.1922 0.1862 0.6734
77 O 0.0318 0.5347 0.7597
78 O 0.2454 0.4668 0.3816
79 O 0.6995 0.6226 0.0200
80 O 0.1368 0.5840 0.0920
81 O 0.7546 0.3816 0.5332
82 O 0.3005 0.0200 0.3774
83 O 0.1368 0.5920 0.9160
84 O 0.1922 0.1734 0.3138
85 O 0.8078 0.3266 0.1862
86 O 0.2413 0.3793 0.5317
87 O 0.0000 0.3482 0.6773
88 O 0.6995 0.5200 0.8774
89 O 0.2413 0.6207 0.4683
90 O 0.3005 0.8774 0.4800
91 O 0.0000 0.8227 0.8482
92 O 0.8078 0.3138 0.8266

Values from the calculation:
Calculated volume in Å³ per atom: 17.22
SG: P4/n (85)
Uncorrected formation energy in eV per atom: -1.28


[2]
Density functional theory data (SCAN) for a PBEsol-optimized structure of CsAsSe2O.

Lattice parameters (Å, degrees): 4.3840 4.9833 4.9833 90.00 90.00 90.00
Sites, in units of the cell vectors:
1 Cs 0.5000 0.5000 0.5000
2 As 0.5000 0.0000 0.0000
3 O 0.0000 0.0000 0.0000
4 Se 0.0000 0.0000 0.5000
5 Se 0.0000 0.5000 0.0000

Values from the calculation:
Calculated volume in Å³ per atom: 21.77
SG: P4/mmm (123)
D(E_F) in states/eV/cell: 4.4
Uncorrected formation energy in eV per atom: 0.23


[3]
Density functional theory data (SCAN) for a PBEsol-optimized structure of Cs2ThAs2O8.

Lattice parameters (Å, degrees): 7.3379 7.3379 10.6531 110.15 110.15 90.00
Sites, in units of the cell vectors:
1 Cs 0.1250 0.3750 0.2500
2 Cs 0.6250 0.8750 0.7500
3 Cs 0.1250 0.8750 0.7500
4 Cs 0.1250 0.8750 0.2500
5 Th 0.5000 0.5000 0.0000
6 Th 0.7500 0.2500 0.5000
7 As 0.6747 0.6747 0.3494
8 As 0.9247 0.4247 0.8494
9 As 0.5753 0.0753 0.1506
10 As 0.3253 0.3253 0.6506
11 O 0.7302 0.5444 0.4605
12 O 0.7944 0.4802 0.9605
13 O 0.1661 0.4802 0.9605
14 O 0.7302 0.9161 0.4605
15 O 0.5198 0.2056 0.0395
16 O 0.4556 0.2698 0.5395
17 O 0.0839 0.2698 0.5395
18 O 0.5198 0.8339 0.0395
19 O 0.7962 0.6163 0.2325
20 O 0.4363 0.6163 0.2325
21 O 0.8663 0.5462 0.7325
22 O 0.8663 0.1863 0.7325
23 O 0.4538 0.1337 0.2675
24 O 0.8137 0.1337 0.2675
25 O 0.3837 0.2038 0.7675
26 O 0.3837 0.5637 0.7675

Values from the calculation:
Calculated volume in Å³ per atom: 19.27
SG: I4_1/amd (141)
D(E_F) in states/eV/cell: 0.0
Uncorrected formation energy in eV per atom: -2.29


[4]
Density functional theory data (SCAN) for a PBEsol-optimized structure of CsAs3Os.

Lattice parameters (Å, degrees): 5.3657 5.3657 5.3657 90.00 90.00 90.00
Sites, in units of the cell vectors:
1 Cs 0.0000 0.0000 0.0000
2 As 0.0000 0.5000 0.0000
3 As 0.0000 0.0000 0.5000
4 As 0.5000 0.0000 0.0000
5 Os 0.5000 0.5000 0.5000

Values from the calculation:
Calculated volume in Å³ per atom: 30.90
SG: Pm-3m (221)
DFT formation energy in meV/atom: 3060.2
D(E_F) in states/eV/cell: 4.3


[5]
Density functional theory data (SCAN) for a PBEsol-optimized structure of Cs3AsOs.

Lattice parameters (Å, degrees): 5.7249 5.7249 5.7249 90.00 90.00 90.00
Sites, in units of the cell vectors:
1 Cs 0.0000 0.5000 0.0000
2 Cs 0.0000 0.0000 0.5000
3 Cs 0.5000 0.0000 0.0000
4 As 0.5000 0.5000 0.5000
5 Os 0.0000 0.0000 0.0000

Values from the calculation:
Calculated volume in Å³ per atom: 37.53
SG: Pm-3m (221)
DFT formation energy in meV/atom: 1165.0
D(E_F) in states/eV/cell: 5.8


[6]
Density functional theory data (SCAN) for a PBEsol-optimized structure of CsAs3P.

Lattice parameters (Å, degrees): 5.5136 5.5136 5.5136 90.00 90.00 90.00
Sites, in units of the cell vectors:
1 Cs 0.0000 0.0000 0.0000
2 P 0.5000 0.5000 0.5000
3 As 0.0000 0.5000 0.0000
4 As 0.0000 0.0000 0.5000
5 As 0.5000 0.0000 0.0000

Values from the calculation:
Calculated volume in Å³ per atom: 33.52
SG: Pm-3m (221)
DFT formation energy in meV/atom: 2364.2
D(E_F) in states/eV/cell: 6.3


[7]
Density functional theory data (SCAN) for a PBEsol-optimized structure of Cs2AsPPt.

Lattice parameters (Å, degrees): 4.3052 6.7639 6.7639 90.00 90.00 90.00
Sites, in units of the cell vectors:
1 Cs 0.0000 0.0000 0.5000
2 Cs 0.0000 0.5000 0.0000
3 P 0.5000 0.0000 0.0000
4 As 0.5000 0.5000 0.5000
5 Pt 0.0000 0.0000 0.0000

Values from the calculation:
Calculated volume in Å³ per atom: 39.39
SG: P4/mmm (123)
DFT formation energy in meV/atom: -136.8
D(E_F) in states/eV/cell: 3.0


[8]
Density functional theory data (SCAN) for a PBEsol-optimized structure of Cs5AsP4Se12.

Lattice parameters (Å, degrees): 7.4915 13.8519 13.8519 90.00 90.00 90.00
Sites, in units of the cell vectors:
1 Cs 0.5000 0.0000 0.0000
2 Cs 0.0000 0.0000 0.0000
3 Cs 0.5000 0.3159 0.3415
4 Cs 0.5000 0.6841 0.6585
5 Cs 0.0000 0.6585 0.3159
6 Cs 0.0000 0.3415 0.6841
7 Cs 0.5000 0.3199 0.9697
8 Cs 0.5000 0.6801 0.0303
9 Cs 0.0000 0.0303 0.3199
10 Cs 0.0000 0.9697 0.6801
11 As 0.5000 0.0000 0.5000
12 As 0.0000 0.5000 0.0000
13 P 0.5000 0.2009 0.6080
14 P 0.5000 0.7991 0.3920
15 P 0.0000 0.3920 0.2009
16 P 0.0000 0.6080 0.7991
17 P 0.5000 0.1136 0.7467
18 P 0.5000 0.8864 0.2533
19 P 0.0000 0.2533 0.1136
20 P 0.0000 0.7467 0.8864
21 Se 0.2554 0.1518 0.8224
22 Se 0.2554 0.8482 0.1776
23 Se 0.7554 0.1776 0.1518
24 Se 0.7554 0.8224 0.8482
25 Se 0.7446 0.8482 0.1776
26 Se 0.7446 0.1518 0.8224
27 Se 0.2446 0.8224 0.8482
28 Se 0.2446 0.1776 0.1518
29 Se 0.5000 0.0370 0.3091
30 Se 0.5000 0.9630 0.6909
31 Se 0.0000 0.6909 0.0370
32 Se 0.0000 0.3091 0.9630
33 Se 0.5000 0.3525 0.6335
34 Se 0.5000 0.6475 0.3665
35 Se 0.0000 0.3665 0.3525
36 Se 0.0000 0.6335 0.6475
37 Se 0.2638 0.1452 0.5281
38 Se 0.2638 0.8548 0.4719
39 Se 0.7638 0.4719 0.1452
40 Se 0.7638 0.5281 0.8548
41 Se 0.7362 0.8548 0.4719
42 Se 0.7362 0.1452 0.5281
43 Se 0.2362 0.5281 0.8548
44 Se 0.2362 0.4719 0.1452

Values from the calculation:
Calculated volume in Å³ per atom: 32.67
SG: P4_2/m (84)
D(E_F) in states/eV/cell: 0.0
Uncorrected formation energy in eV per atom: -0.76


[9]
Density functional theory data (SCAN) for a PBEsol-optimized structure of Cs2YAsP.

Lattice parameters (Å, degrees): 4.5522 6.9046 6.9046 90.00 90.00 90.00
Sites, in units of the cell vectors:
1 Cs 0.0000 0.0000 0.5000
2 Cs 0.0000 0.5000 0.0000
3 Y 0.5000 0.5000 0.5000
4 As 0.5000 0.0000 0.0000
5 P 0.0000 0.0000 0.0000

Values from the calculation:
Calculated volume in Å³ per atom: 43.40
SG: P4/mmm (123)
DFT formation energy in meV/atom: 478.6
D(E_F) in states/eV/cell: 3.6


[10]
Density functional theory data (SCAN) for a PBEsol-optimized structure of Cs2AsPd.

Lattice parameters (Å, degrees): 4.6652 9.2008 9.2008 86.31 75.31 75.31
Sites, in units of the cell vectors:
1 Cs 0.7912 0.8338 0.3338
2 Cs 0.9588 0.1662 0.6662
3 Cs 0.3750 0.6662 0.8338
4 Cs 0.8750 0.3338 0.1662
5 As 0.5000 0.0000 0.0000
6 As 0.2500 0.5000 0.5000
7 Pd 0.0000 0.0000 0.0000
8 Pd 0.7500 0.5000 0.5000

Values from the calculation:
Calculated volume in Å³ per atom: 46.19
SG: I-42d (122)
DFT formation energy in meV/atom: -349.8
D(E_F) in states/eV/cell: 3.8


[11]
Density functional theory data (SCAN) for a PBEsol-optimized structure of CsAsPdSe2.

Lattice parameters (Å, degrees): 5.6932 5.5947 5.5947 90.00 90.00 90.00
Sites, in units of the cell vectors:
1 Cs 0.0000 0.0000 0.0000
2 As 0.5000 0.0000 0.0000
3 Se 0.0000 0.0000 0.5000
4 Se 0.0000 0.5000 0.0000
5 Pd 0.5000 0.5000 0.5000

Values from the calculation:
Calculated volume in Å³ per atom: 35.64
SG: P4/mmm (123)
D(E_F) in states/eV/cell: 7.3
Uncorrected formation energy in eV per atom: 1.75


[12]
Density functional theory data (SCAN) for a PBEsol-optimized structure of Cs2RbAs.

Lattice parameters (Å, degrees): 6.0905 6.0905 6.0905 60.00 60.00 60.00
Sites, in units of the cell vectors:
1 Cs 0.2500 0.2500 0.2500
2 Cs 0.7500 0.7500 0.7500
3 As 0.0000 0.0000 0.0000
4 Rb 0.5000 0.5000 0.5000

Values from the calculation:
Calculated volume in Å³ per atom: 39.94
SG: Fm-3m (225)
DFT formation energy in meV/atom: -315.9


[13]
Density functional theory data (SCAN) for a PBEsol-optimized structure of CsRbAsSe2.

Lattice parameters (Å, degrees): 5.9833 5.9186 5.9186 90.00 90.00 90.00
Sites, in units of the cell vectors:
1 Cs 0.0000 0.0000 0.0000
2 As 0.5000 0.0000 0.0000
3 Se 0.0000 0.0000 0.5000
4 Se 0.0000 0.5000 0.0000
5 Rb 0.5000 0.5000 0.5000

Values from the calculation:
Calculated volume in Å³ per atom: 41.92
SG: P4/mmm (123)
D(E_F) in states/eV/cell: 1.2
Excess energy over the best structure of this formula in the dataset in eV/atom: 0.205
Uncorrected formation energy in eV per atom: 0.45


[14]
Density functional theory data (SCAN) for a PBEsol-optimized structure of CsRbAsSe2.

Lattice parameters (Å, degrees): 6.1759 6.1759 6.3531 90.00 90.00 90.00
Sites, in units of the cell vectors:
1 Cs 0.5000 0.5000 0.5000
2 As 0.0000 0.0000 0.5000
3 Se 0.0000 0.5000 0.0000
4 Se 0.5000 0.0000 0.0000
5 Rb 0.0000 0.0000 0.0000

Values from the calculation:
Calculated volume in Å³ per atom: 48.46
SG: P4/mmm (123)
D(E_F) in states/eV/cell: 2.5
Excess energy over the best structure of this formula in the dataset in eV/atom: 0.000
Uncorrected formation energy in eV per atom: 0.24


[15]
Density functional theory data (SCAN) for a PBEsol-optimized structure of CsReAsSe2.

Lattice parameters (Å, degrees): 4.8054 5.0803 5.0803 90.00 90.00 90.00
Sites, in units of the cell vectors:
1 Cs 0.5000 0.5000 0.5000
2 Re 0.0000 0.0000 0.0000
3 As 0.5000 0.0000 0.0000
4 Se 0.0000 0.0000 0.5000
5 Se 0.0000 0.5000 0.0000

Values from the calculation:
Calculated volume in Å³ per atom: 24.81
SG: P4/mmm (123)
D(E_F) in states/eV/cell: 4.8
Uncorrected formation energy in eV per atom: 0.03


[16]
Density functional theory data (SCAN) for a PBEsol-optimized structure of CsAs2Rh2.

Lattice parameters (Å, degrees): 3.9789 3.9789 7.8039 104.77 104.77 90.00
Sites, in units of the cell vectors:
1 Cs 0.0000 0.0000 0.0000
2 As 0.3444 0.3444 0.6888
3 As 0.6556 0.6556 0.3112
4 Rh 0.2500 0.7500 0.5000
5 Rh 0.7500 0.2500 0.5000

Values from the calculation:
Calculated volume in Å³ per atom: 23.05
SG: I4/mmm (139)
DFT formation energy in meV/atom: -786.6
D(E_F) in states/eV/cell: 1.1


[17]
Density functional theory data (SCAN) for a PBEsol-optimized structure of CsAs2RhSe.

Lattice parameters (Å, degrees): 4.7514 4.7514 5.5846 90.00 90.00 90.00
Sites, in units of the cell vectors:
1 Cs 0.5000 0.5000 0.5000
2 As 0.0000 0.5000 0.0000
3 As 0.5000 0.0000 0.0000
4 Rh 0.0000 0.0000 0.0000
5 Se 0.0000 0.0000 0.5000

Values from the calculation:
Calculated volume in Å³ per atom: 25.22
SG: P4/mmm (123)
D(E_F) in states/eV/cell: 2.4
Uncorrected formation energy in eV per atom: -0.03


[18]
Density functional theory data (SCAN) for a PBEsol-optimized structure of CsAs2Ru2.

Lattice parameters (Å, degrees): 4.0180 4.0180 7.7572 105.01 105.01 90.00
Sites, in units of the cell vectors:
1 Cs 0.0000 0.0000 0.0000
2 Ru 0.2500 0.7500 0.5000
3 Ru 0.7500 0.2500 0.5000
4 As 0.6571 0.6571 0.3143
5 As 0.3429 0.3429 0.6857

Values from the calculation:
Calculated volume in Å³ per atom: 23.31
SG: I4/mmm (139)
DFT formation energy in meV/atom: -520.5
D(E_F) in states/eV/cell: 3.4


[19]
Density functional theory data (SCAN) for a PBEsol-optimized structure of CsAsS3.

Lattice parameters (Å, degrees): 4.9165 4.9165 4.9165 90.00 90.00 90.00
Sites, in units of the cell vectors:
1 Cs 0.5000 0.5000 0.5000
2 As 0.0000 0.0000 0.0000
3 S 0.0000 0.5000 0.0000
4 S 0.0000 0.0000 0.5000
5 S 0.5000 0.0000 0.0000

Values from the calculation:
Calculated volume in Å³ per atom: 23.77
SG: Pm-3m (221)
D(E_F) in states/eV/cell: 5.8
Uncorrected formation energy in eV per atom: -0.17


[20]
Density functional theory data (SCAN) for a PBEsol-optimized structure of CsAsSe2S.

Lattice parameters (Å, degrees): 5.6290 5.6290 6.9790 90.00 90.00 90.00
Sites, in units of the cell vectors:
1 Cs 0.0000 0.0000 0.0000
2 As 0.0000 0.0000 0.5000
3 S 0.5000 0.5000 0.5000
4 Se 0.0000 0.5000 0.0000
5 Se 0.5000 0.0000 0.0000

Values from the calculation:
Calculated volume in Å³ per atom: 44.23
SG: P4/mmm (123)
D(E_F) in states/eV/cell: 4.8
Uncorrected formation energy in eV per atom: 1.68